DFT (PBE-GGA) results for a relaxed structure of Mg2TeP.

Cell and atoms, written as extended XYZ:
```
4
Lattice="2.011 -2.959 0.000 2.011 2.959 0.000 0.000 0.000 7.728" Properties=species:S:1:pos:R:3 pbc="T T T"
Mg 0.000 0.000 1.587
Mg 0.000 0.000 6.141
Te 2.011 0.000 3.864
P 2.011 0.000 0.000
```

For the energy relative to the lowest polymorph listed for this composition, the calculation gives 268 meV/atom.

DFT (PBE-GGA) results for a relaxed structure of CsScTlTe3.

Cell and atoms, written as extended XYZ:
```
12
Lattice="4.091 -7.872 0.000 4.091 7.872 0.000 -1.546 0.000 7.702" Properties=species:S:1:pos:R:3 pbc="T T T"
Cs 2.931 4.046 5.776
Cs 3.705 -4.046 1.925
Sc 3.705 0.894 1.925
Sc 2.931 -0.894 5.776
Tl 3.705 6.737 1.925
Tl 2.931 -6.737 5.776
Te 1.471 0.609 3.814
Te 3.705 3.638 1.925
Te 0.697 -0.609 7.665
Te 5.938 0.609 0.037
Te 2.931 -3.638 5.776
Te 5.165 -0.609 3.888
```

DFT (PBE-GGA) results for a relaxed structure of Al2CdSe4.

Cell and atoms, written as extended XYZ:
```
14
Lattice="0.000 5.482 5.482 5.482 0.000 5.482 5.482 5.482 0.000" Properties=species:S:1:pos:R:3 pbc="T T T"
Al 0.000 0.000 0.000
Al 2.741 2.741 0.000
Al 2.741 0.000 2.741
Al 0.000 2.741 2.741
Cd 4.111 4.111 4.111
Cd 6.852 6.852 6.852
Se 8.376 5.329 5.329
Se 2.588 2.588 2.588
Se 5.635 5.635 2.588
Se 5.635 2.588 5.635
Se 5.329 8.376 5.329
Se 5.329 5.329 8.376
Se 8.376 8.376 8.376
Se 2.588 5.635 5.635
```

DFT (PBE-GGA) results for a relaxed structure of K3TbAg2Cl9.

Cell and atoms, written as extended XYZ:
```
15
Lattice="7.428 0.000 0.000 -3.714 6.433 0.000 0.000 0.000 9.289" Properties=species:S:1:pos:R:3 pbc="T T T"
K 0.000 0.000 0.000
K 0.000 4.288 6.697
K 3.714 2.144 2.592
Tb 0.000 0.000 4.645
Ag 0.000 4.288 1.470
Ag 3.714 2.144 7.819
Cl -1.857 3.216 0.000
Cl 0.000 2.122 3.079
Cl -1.876 5.371 3.079
Cl 1.838 1.061 6.210
Cl 3.714 0.000 0.000
Cl 1.857 3.216 0.000
Cl 1.876 5.371 3.079
Cl 5.590 1.061 6.210
Cl 3.714 4.310 6.210
```

DFT (PBE-GGA) results for a relaxed structure of Cd4Hg3Sb.

Cell and atoms, written as extended XYZ:
```
8
Lattice="6.075 -3.652 0.000 6.075 3.652 0.000 -1.704 0.000 4.561" Properties=species:S:1:pos:R:3 pbc="T T T"
Cd 6.075 1.875 0.000
Cd 2.163 0.000 2.277
Cd 8.283 0.000 2.283
Cd 6.075 -1.875 0.000
Hg -0.852 0.000 2.280
Hg 3.037 1.826 0.000
Hg 3.037 -1.826 0.000
Sb 5.223 0.000 2.280
```

DFT (PBE-GGA) results for a relaxed structure of TlBrO2.

Cell and atoms, written as extended XYZ:
```
4
Lattice="3.513 0.000 0.000 -1.753 3.053 0.000 -0.037 -0.271 6.655" Properties=species:S:1:pos:R:3 pbc="T T T"
Tl 0.000 0.000 0.000
Br 1.742 0.872 3.328
O 1.748 0.918 1.283
O 1.734 0.832 5.378
```

For the energy relative to the lowest polymorph listed for this composition, the calculation gives 119 meV/atom.

DFT (PBE-GGA) results for a relaxed structure of AgSb2Os.

Cell and atoms, written as extended XYZ:
```
4
Lattice="4.559 -1.665 0.000 4.559 1.665 0.000 -2.135 0.000 6.175" Properties=species:S:1:pos:R:3 pbc="T T T"
Ag 0.000 0.000 0.000
Sb 3.126 0.000 3.787
Sb 6.632 0.000 0.859
Os 0.415 0.000 4.875
```

For the energy relative to the lowest polymorph listed for this composition, the calculation gives 122 meV/atom.

DFT (PBE-GGA) results for a relaxed structure of Er4TlPt.

Cell and atoms, written as extended XYZ:
```
24
Lattice="0.000 6.823 6.823 6.823 0.000 6.823 6.823 6.823 0.000" Properties=species:S:1:pos:R:3 pbc="T T T"
Er 3.412 3.412 0.847
Er 3.412 0.847 3.412
Er 5.976 3.412 3.412
Er 6.823 6.823 2.572
Er 6.823 2.572 6.823
Er 11.074 6.823 6.823
Er 8.211 5.435 5.435
Er 0.847 3.412 3.412
Er 3.412 5.976 3.412
Er 3.412 3.412 5.976
Er 5.435 8.211 5.435
Er 5.435 5.435 8.211
Er 8.211 8.211 8.211
Er 2.572 6.823 6.823
Er 6.823 11.074 6.823
Er 6.823 6.823 11.074
Tl 11.415 9.054 9.054
Tl 9.054 11.415 9.054
Tl 9.054 9.054 11.415
Tl 11.415 11.415 11.415
Pt 5.369 5.369 5.369
Pt 8.277 8.277 5.369
Pt 8.277 5.369 8.277
Pt 5.369 8.277 8.277
```

For the energy relative to the lowest polymorph listed for this composition, the calculation gives 0 meV/atom.

DFT (PBE-GGA) results for a relaxed structure of RuC3.

Cell and atoms, written as extended XYZ:
```
4
Lattice="2.644 0.000 0.000 -1.322 2.290 0.000 0.000 0.000 5.370" Properties=species:S:1:pos:R:3 pbc="T T T"
Ru 0.000 0.000 0.000
C 0.000 0.000 2.685
C 0.000 1.527 1.675
C 0.000 1.527 3.695
```

For the energy relative to the lowest polymorph listed for this composition, the calculation gives 1352 meV/atom.

DFT (PBE-GGA) results for a relaxed structure of V2ReNi2.

Cell and atoms, written as extended XYZ:
```
10
Lattice="7.046 0.000 0.000 0.000 7.046 0.000 0.000 0.000 2.562" Properties=species:S:1:pos:R:3 pbc="T T T"
V 0.842 2.681 0.000
V 2.681 6.204 0.000
V 4.365 0.842 0.000
V 6.204 4.365 0.000
Re 0.000 0.000 0.000
Re 3.523 3.523 0.000
Ni 1.260 4.783 1.281
Ni 2.263 1.260 1.281
Ni 4.783 5.786 1.281
Ni 5.786 2.263 1.281
```

For the energy relative to the lowest polymorph listed for this composition, the calculation gives 147 meV/atom.

DFT (PBE-GGA) results for a relaxed structure of YZr2Zn.

Cell and atoms, written as extended XYZ:
```
4
Lattice="-1.729 2.492 5.333 1.729 -2.492 5.333 1.729 2.492 -5.333" Properties=species:S:1:pos:R:3 pbc="T T T"
Y 0.000 0.000 0.000
Zr 0.000 0.000 4.606
Zr 0.000 2.492 2.302
Zn 1.729 0.000 2.405
```

DFT (PBE-GGA) results for a relaxed structure of PmNdC2.

Cell and atoms, written as extended XYZ:
```
4
Lattice="3.968 0.000 0.000 1.970 4.253 0.000 1.969 0.715 4.426" Properties=species:S:1:pos:R:3 pbc="T T T"
Pm 0.000 0.000 0.000
Nd 3.945 2.454 2.219
C 5.925 4.252 2.895
C 5.928 3.169 3.782
```

For the energy relative to the lowest polymorph listed for this composition, the calculation gives 0 meV/atom.

DFT (PBE-GGA) results for a relaxed structure of Cd3BrN.

Cell and atoms, written as extended XYZ:
```
5
Lattice="5.617 0.000 0.000 0.000 5.617 0.000 0.000 0.000 5.617" Properties=species:S:1:pos:R:3 pbc="T T T"
Cd 0.000 0.000 2.808
Cd 0.000 2.808 0.000
Cd 2.808 0.000 0.000
Br 0.000 0.000 0.000
N 2.808 2.808 2.808
```

For the energy relative to the lowest polymorph listed for this composition, the calculation gives 1377 meV/atom.

DFT (PBE-GGA) results for a relaxed structure of UCo2Ge3.

Cell and atoms, written as extended XYZ:
```
18
Lattice="7.678 -1.953 0.000 7.678 1.953 0.000 -2.025 0.000 9.586" Properties=species:S:1:pos:R:3 pbc="T T T"
U 0.000 0.000 0.000
U 0.953 0.000 6.615
U 12.378 0.000 2.970
Co 2.925 0.000 0.511
Co 4.377 0.000 5.533
Co 6.050 0.000 7.600
Co 7.280 0.000 1.986
Co 8.954 0.000 4.053
Co 10.406 0.000 9.075
Ge 0.025 0.000 3.232
Ge 2.707 0.000 3.780
Ge 3.693 0.000 7.914
Ge 5.265 0.000 0.856
Ge 6.665 0.000 4.793
Ge 8.066 0.000 8.730
Ge 9.637 0.000 1.671
Ge 10.623 0.000 5.806
Ge 13.305 0.000 6.354
```

DFT (PBE-GGA) results for a relaxed structure of Tm2RhAu4.

Cell and atoms, written as extended XYZ:
```
7
Lattice="4.137 -4.127 0.000 4.137 4.127 0.000 -4.129 0.000 4.265" Properties=species:S:1:pos:R:3 pbc="T T T"
Tm 2.068 2.064 0.000
Tm 2.068 -2.064 0.000
Rh 0.000 0.000 0.000
Au -2.065 0.000 2.132
Au 0.004 2.064 2.132
Au 0.004 -2.064 2.132
Au 2.072 0.000 2.132
```

DFT (PBE-GGA) results for a relaxed structure of LiTb4Pt.

Cell and atoms, written as extended XYZ:
```
12
Lattice="-5.105 5.105 3.637 5.105 -5.105 3.637 5.105 5.105 -3.637" Properties=species:S:1:pos:R:3 pbc="T T T"
Li 0.000 0.000 0.000
Li 0.000 5.105 1.819
Tb 5.105 2.444 -0.470
Tb 2.444 0.000 1.349
Tb 7.766 0.000 1.349
Tb 5.105 -1.952 3.095
Tb 5.105 1.952 3.095
Tb 3.153 5.105 1.276
Tb 1.952 0.000 4.913
Tb 0.000 2.661 3.167
Pt 5.105 0.000 0.996
Pt 0.000 0.000 2.815
```

Number 1: electronic total energy -3.19 eV per atom, calculated volume 23.0 A^3/atom. Number 2: electronic total energy -3.98 eV per atom, calculated volume 41.3 A^3/atom. Number 3: electronic total energy -3.96 eV per atom, calculated volume 23.5 A^3/atom. Number 4: electronic total energy -3.53 eV per atom, calculated volume 29.6 A^3/atom. Number 5: electronic total energy -1.06 eV per atom, calculated volume 25.3 A^3/atom. Number 6: electronic total energy -3.71 eV per atom, calculated volume 17.8 A^3/atom. Number 7: electronic total energy -5.14 eV per atom, calculated volume 23.4 A^3/atom. Number 8: electronic total energy -5.09 eV per atom, calculated volume 26.5 A^3/atom. Number 9: electronic total energy -6.98 eV per atom, calculated volume 8.1 A^3/atom. Number 10: electronic total energy -8.36 eV per atom, calculated volume 12.7 A^3/atom. Number 11: electronic total energy -6.21 eV per atom, calculated volume 23.0 A^3/atom. Number 12: electronic total energy -7.13 eV per atom, calculated volume 18.7 A^3/atom. Number 13: electronic total energy -0.93 eV per atom, calculated volume 35.4 A^3/atom. Number 14: electronic total energy -6.79 eV per atom, calculated volume 16.0 A^3/atom. Number 15: electronic total energy -4.85 eV per atom, calculated volume 20.8 A^3/atom. Number 16: electronic total energy -4.52 eV per atom, calculated volume 31.6 A^3/atom.